Density functional theory data (meta-GGA SCAN) for a PBEsol-optimized structure of Rb.

Cell lengths 11.992, 11.992, 11.992 Å; angles 90.00, 90.00, 90.00 degrees
Sites, in units of the cell vectors:
Rb 0.938 0.562 0.438
Rb 0.625 0.297 0.547
Rb 0.688 0.688 0.688
Rb 0.125 0.203 0.453
Rb 0.812 0.312 0.188
Rb 0.453 0.125 0.203
Rb 0.312 0.188 0.812
Rb 0.047 0.875 0.703
Rb 0.188 0.812 0.312
Rb 0.438 0.938 0.562
Rb 0.297 0.547 0.625
Rb 0.953 0.375 0.797
Rb 0.797 0.953 0.375
Rb 0.703 0.047 0.875
Rb 0.562 0.438 0.938
Rb 0.875 0.703 0.047
Rb 0.062 0.062 0.062
Rb 0.203 0.453 0.125
Rb 0.375 0.797 0.953
Rb 0.547 0.625 0.297

Summary:
Its uncorrected energy is -20.73 eV per atom. The space-group type is No. 213.